1.
The following is a GGA-PBE calculation of an optimized crystal structure of Ag3SF, from the Alexandria database.

The structure belongs to space group C2/m (No. 12); the cell edges are 15.837, 4.676 and 5.099 Å and the angles 90.00°, 104.35° and 90.00°. Symmetry generates all atoms from Ag at (0.060, 0.000, 0.300), Ag at (0.075, 0.500, 0.885), Ag at (0.249, 0.500, 0.306), S at (0.109, 0.500, 0.415) and F at (0.152, 0.000, 0.925).

As for the density of states at the Fermi level: 2.1 states/eV per cell. Its energy above the most stable polymorph in this dataset is 0.02 eV/f.u. The value obtained for the total magnetization is 0.0 μB/f.u. As for the raw total energy: -66.65 eV for the cell shown. The value obtained for the uncorrected formation energy is -0.422 eV/atom.

2.
The following is a GGA-PBE calculation of an optimized crystal structure of TaHgCl6, from the Alexandria database.

The structure belongs to space group C2/m (No. 12); the cell edges are 7.038, 11.703 and 6.887 Å and the angles 90.00°, 110.34° and 90.00°. Symmetry generates all atoms from Ta at (0.000, 0.000, 0.000), Hg at (0.000, 0.500, 0.500), Cl at (0.203, 0.000, 0.792) and Cl at (0.212, 0.143, 0.217).

As for the density of states at the Fermi level: 5.6 states/eV per cell. The value obtained for the total magnetization is 0.0 μB/f.u. As for the raw total energy: -63.39 eV for the cell shown. The value obtained for the uncorrected formation energy is -1.057 eV/atom.

3.
The following is a GGA-PBE calculation of an optimized crystal structure of KGeN, from the Alexandria database.

The structure belongs to space group C2/m (No. 12); the cell edges are 5.883, 5.884 and 8.168 Å and the angles 90.00°, 90.07° and 90.00°. Symmetry generates all atoms from K at (0.250, 0.000, 0.148), Ge at (0.249, 0.000, 0.587) and N at (0.250, 0.000, 0.796).

Its energy above the most stable polymorph in this dataset is 0.42 eV/f.u. The value obtained for the total magnetization is 0.0 μB/f.u. As for the raw total energy: -55.17 eV for the cell shown. The value obtained for the uncorrected formation energy is 0.082 eV/atom.

4.
The following is a GGA-PBE calculation of an optimized crystal structure of TbZrPtAu, from the Alexandria database.

The structure belongs to space group F-43m (No. 216); the cell edges are 6.951, 6.951 and 6.951 Å and the angles 90.00°, 90.00° and 90.00°. Symmetry generates all atoms from Tb at (0.000, 0.000, 0.000), Zr at (0.000, 0.000, 0.500), Pt at (0.250, 0.250, 0.750) and Au at (0.250, 0.250, 0.250).

As for the density of states at the Fermi level: 11.3 states/eV per cell. The formation energy comes out at -0.793 eV/atom. The value obtained for the total magnetization is 0.0 μB/f.u. As for the raw total energy: -102.68 eV for the cell shown.

5.
The following is a GGA-PBE calculation of an optimized crystal structure of ZnCu2SnSe2S2, from the Alexandria database.

The structure belongs to space group Fmm2 (No. 42); the cell edges are 7.885, 7.965 and 11.265 Å and the angles 90.00°, 90.00° and 90.00°. Symmetry generates all atoms from Zn at (0.000, 0.000, 0.000), Cu at (0.250, 0.250, 0.228), Sn at (0.000, 0.000, 0.494), Se at (0.000, 0.238, 0.857) and S at (0.244, 0.000, 0.126).

As for the density of states at the Fermi level: 2.8 states/eV per cell. The value obtained for the total magnetization is 0.0 μB/f.u. As for the raw total energy: -128.16 eV for the cell shown. The value obtained for the uncorrected formation energy is -0.418 eV/atom.

6.
The following is a GGA-PBE calculation of an optimized crystal structure of Li2Sm2TaN4, from the Alexandria database.

The structure belongs to space group C2/m (No. 12); the cell edges are 12.021, 3.237 and 5.812 Å and the angles 90.00°, 110.53° and 90.00°. Symmetry generates all atoms from Li at (0.180, 0.000, 0.005), Sm at (0.138, 0.500, 0.564), Ta at (0.000, 0.500, 0.000), N at (0.021, 0.000, 0.767) and N at (0.198, 0.500, 0.209).

As for the density of states at the Fermi level: 4.6 states/eV per cell. The value obtained for the total magnetization is 0.0 μB/f.u. As for the raw total energy: -133.43 eV for the cell shown. The value obtained for the uncorrected formation energy is -0.922 eV/atom.